KLiScSb2: relaxed, PBEsol.

Space-group type: P4/mmm, No. 123
Volume: 129.0 Å³ per cell
M_tot: 0.673 Bohr magnetons per cell

POSCAR file:
```
KLiScSb2
1.0
5.1529 0.0000 0.0000
0.0000 5.1529 0.0000
0.0000 0.0000 4.8592
K Li Sc Sb
1 1 1 2
Direct
0.0000 0.0000 0.0000 K
0.5000 0.5000 0.5000 Li
0.5000 0.5000 0.0000 Sc
0.0000 0.5000 0.5000 Sb
0.5000 0.0000 0.5000 Sb
```

RhSeO2: relaxed, PBEsol.

Space-group type: R-3m, No. 166
Volume: 143.2 Å³ per cell
M_tot: 0.011 Bohr magnetons per cell

POSCAR file:
```
RhSeO2
1.0
2.8080 0.0000 0.0000
-1.4040 2.4318 0.0000
0.0000 0.0000 20.9710
Rh Se O
3 3 6
Direct
0.0000 0.0000 0.0000 Rh
0.3333 0.6667 0.6667 Rh
0.6667 0.3333 0.3333 Rh
0.0000 0.0000 0.5000 Se
0.3333 0.6667 0.1667 Se
0.6667 0.3333 0.8333 Se
0.0000 0.0000 0.0890 O
0.0000 0.0000 0.9110 O
0.3333 0.6667 0.5776 O
0.3333 0.6667 0.7557 O
0.6667 0.3333 0.2443 O
0.6667 0.3333 0.4224 O
```

TbSnAu: relaxed, PBEsol.

Space-group type: P6_3mc, No. 186
Volume: 136.5 Å³ per cell
M_tot: 0.000 Bohr magnetons per cell

POSCAR file:
```
TbSnAu
1.0
4.6395 0.0000 0.0000
-2.3197 4.0179 0.0000
0.0000 0.0000 7.3219
Tb Sn Au
2 2 2
Direct
0.0000 0.0000 0.0000 Tb
0.0000 0.0000 0.5000 Tb
0.3333 0.6667 0.2742 Sn
0.6667 0.3333 0.7742 Sn
0.3333 0.6667 0.6747 Au
0.6667 0.3333 0.1747 Au
```

TaInNi2: relaxed, PBEsol.

Space-group type: P4/mmm, No. 123
Volume: 59.0 Å³ per cell
M_tot: 0.000 Bohr magnetons per cell

POSCAR file:
```
TaInNi2
1.0
3.1250 0.0000 0.0000
0.0000 3.1250 0.0000
0.0000 0.0000 6.0429
Ta In Ni
1 1 2
Direct
0.0000 0.0000 0.0000 Ta
0.0000 0.0000 0.5000 In
0.5000 0.5000 0.2168 Ni
0.5000 0.5000 0.7832 Ni
```

| no. | DFT total energy (eV/cell) |
| --- | --- |
| 1 | -18.70 |
| 2 | -66.60 |
| 3 | -31.67 |
| 4 | -28.63 |